(1)
Computed, not measured: LiScTi2Bi after structural relaxation at the PBE level of DFT.

Unit cell a=4.7685 b=5.4974 c=4.7685 alpha=90.00 beta=90.00 gamma=90.00
Fractional coordinates of all 5 atoms:
1 Sc 0.0000 0.0000 0.0000
2 Li 0.5000 0.5000 0.5000
3 Bi 0.0000 0.5000 0.0000
4 Ti 0.0000 0.0000 0.5000
5 Ti 0.5000 0.0000 0.0000

Calculated values
Its space-group type is P4/mmm (123). The value obtained for the formation energy is 0.83 eV/atom.


(2)
Computed, not measured: PrHoGeIr after structural relaxation at the PBE level of DFT.

Unit cell a=4.2004 b=4.1049 c=5.8771 alpha=90.00 beta=110.94 gamma=90.00
Fractional coordinates of all 4 atoms:
1 Pr 0.1472 0.0000 0.2944
2 Ho 0.8664 0.5000 0.7328
3 Ge 0.5669 0.5000 0.1337
4 Ir 0.4196 0.0000 0.8392

Calculated values
Its space-group type is Amm2 (38). The value obtained for the formation energy is -0.79 eV/atom.


(3)
Computed, not measured: Ca2PrCd2Sn2 after structural relaxation at the PBE level of DFT.

Unit cell a=5.0430 b=5.0430 c=9.3304 alpha=74.32 beta=74.32 gamma=60.00
Fractional coordinates of all 7 atoms:
1 Ca 0.1355 0.1355 0.5934
2 Ca 0.8645 0.8645 0.4066
3 Pr 0.0000 0.0000 0.0000
4 Cd 0.5716 0.5716 0.2853
5 Cd 0.4284 0.4284 0.7147
6 Sn 0.7357 0.7357 0.7930
7 Sn 0.2643 0.2643 0.2070

Calculated values
Its space-group type is R-3m (166). The value obtained for the formation energy is -0.41 eV/atom.


(4)
Computed, not measured: DyBiRu2O7 after structural relaxation at the PBE level of DFT.

Unit cell a=7.3027 b=7.3027 c=7.3027 alpha=120.47 beta=119.71 gamma=89.84
Site moments in Bohr magnetons follow the coordinates.
Fractional coordinates of all 22 atoms:
1 Dy 0.5000 0.5000 0.0000  0.01
2 Dy 0.0000 0.5000 0.5000  0.01
3 Bi 0.5000 0.5000 0.5000  0.00
4 Bi 0.5000 0.0000 0.0000  0.00
5 Ru 0.0000 0.0000 0.5000  1.11
6 Ru 0.0000 0.5000 0.0000  1.11
7 Ru 0.0000 0.0000 0.0000  -0.89
8 Ru 0.5000 0.0000 0.5000  -0.89
9 O 0.6337 0.3837 0.2500  0.00
10 O 0.3663 0.6163 0.7500  0.00
11 O 0.3316 0.0815 0.6630  -0.01
12 O 0.9185 0.0815 0.2499  -0.01
13 O 0.9131 0.6631 0.2500  0.10
14 O 0.9185 0.6686 0.8370  -0.01
15 O 0.3316 0.6686 0.2501  -0.01
16 O 0.3302 0.0802 0.2500  -0.05
17 O 0.6684 0.9185 0.3370  -0.01
18 O 0.0815 0.9185 0.7501  -0.01
19 O 0.0869 0.3369 0.7500  0.10
20 O 0.0815 0.3314 0.1630  -0.01
21 O 0.6684 0.3314 0.7499  -0.01
22 O 0.6698 0.9198 0.7500  -0.05

Calculated values
Its space-group type is Imma (74). For the formation energy without anion corrections, the calculation gives -17.9 eV/f.u.